Here is an optimized crystal structure of TmPuAg2S4 from Alexandria via LeMat-Bulk. Energies are from GGA-PBE.

Calculated values
As for the space-group type: I-4m2, No. 119. Its formation energy (no corrections) is -9.21 eV per formula unit. The calculation puts the total energy at -6.2785 eV/atom. The total magnetic moment is 0.63 μB per atom.

Cell lengths 5.393, 5.394, 7.188 Å; angles 112.04, 112.04, 90.00 degrees
Last column: magnetic moment on the atom in μB.
Sites, in units of the cell vectors:
S (0.731, 0.731, 0.462)  -0.04
S (0.269, 0.269, 0.538)  -0.04
S (0.971, 0.471, 0.943)  -0.07
S (0.529, 0.029, 0.057)  -0.07
Tm (0.750, 0.250, 0.500)  0.04
Ag (0.250, 0.750, 0.500)  -0.01
Ag (0.000, 0.000, 0.000)  -0.01
Pu (0.500, 0.500, 0.000)  5.04